[1]
# TaSn3Au

A PBEsol-optimized structure of TaSn3Au (SCAN, Alexandria via LeMat-Bulk).

The structure in POSCAR format:
```
TaSn3Au
1.0
-0.651 -2.065 -4.820
-2.989 -3.844 2.050
-4.308 2.980 -0.694
Sn Ta Au
3 1 1
Cartesian
-1.495 -1.922 1.025
-2.154 1.490 -0.347
-0.326 -1.032 -2.410
0.000 0.000 0.000
-3.974 -1.464 -1.732
```

***

[2]
# HfGe2AsIr

A PBEsol-optimized structure of HfGe2AsIr (SCAN, Alexandria via LeMat-Bulk).

The structure in POSCAR format:
```
HfGe2AsIr
1.0
-2.305 2.478 3.033
-3.885 -0.998 -2.137
-0.584 -4.302 3.071
Ge Ir As Hf
2 1 1 1
Cartesian
-1.942 -0.499 -1.069
-1.153 1.239 1.517
0.000 0.000 0.000
-0.292 -2.151 1.535
-3.387 -1.411 1.983
```

***

no.,ΔH_f (0 K) (eV/atom),DFT total energy (eV/atom)
1,0.66,-48.0447
2,0.54,-37.8923